Record 1
A plane-wave DFT calculation with SCAN was carried out for K5Fe at its PBEsol-relaxed geometry.

Cell: 11.086 11.086 11.086 Å, 90.00 90.00 90.00°
Space group F-43m (No. 216)
Symmetry-distinct sites (fractional):
K1 0.000 0.000 0.000
K2 0.124 0.124 0.624
Fe1 0.250 0.250 0.250

Summary:
total magnetization: 0.543 μB per atom
formation energy: 0.72 eV per atom



Record 2
A plane-wave DFT calculation with SCAN was carried out for Cr2AsSe at its PBEsol-relaxed geometry.

Cell: 6.287 6.287 6.287 Å, 90.00 90.00 90.00°
Space group F-43m (No. 216)
Symmetry-distinct sites (fractional):
Cr1 0.000 0.000 0.000
Cr2 0.250 0.250 0.250
As1 0.250 0.250 0.750
Se1 0.000 0.000 0.500

Summary:
total magnetization: 0.074 μB per atom
ΔE_f (raw): 0.305 eV per atom
relative energy among the computed polymorphs: 0.225 eV/atom



Record 3
A plane-wave DFT calculation with SCAN was carried out for Mo2PSe at its PBEsol-relaxed geometry.

Cell: 3.203 3.203 5.888 Å, 90.00 90.00 90.00°
Space group P4mm (No. 99)
Symmetry-distinct sites (fractional):
Mo1 0.000 0.000 0.000
Mo2 0.500 0.500 0.323
P1 0.000 0.000 0.458
Se1 0.500 0.500 0.793

Summary:
total magnetization: 0.000 μB per atom
ΔE_f (raw): -0.125 eV per atom



Record 4
A plane-wave DFT calculation with SCAN was carried out for Al3As2 at its PBEsol-relaxed geometry.

Cell: 3.7215 3.7215 23.4692 Å, 90.00 90.00 120.00°
Space group R-3m (No. 166, hexagonal axes)
Symmetry-distinct sites (fractional):
Al1 0.0000 0.0000 0.0000
Al2 0.0000 0.0000 0.2078
As1 0.0000 0.0000 0.3984

Summary:
total magnetization: 0.000 μB per atom
formation energy: -0.13 eV per atom



Record 5
A plane-wave DFT calculation with SCAN was carried out for Mg3Ag5 at its PBEsol-relaxed geometry.

Cell: 7.558 8.432 4.348 Å, 90.00 90.00 90.00°
Space group Cmmm (No. 65)
Symmetry-distinct sites (fractional):
Mg1 0.000 0.000 0.000
Mg2 0.000 0.273 0.500
Ag1 0.000 0.500 0.000
Ag2 0.228 0.000 0.500
Ag3 0.250 0.250 0.000

Summary:
total magnetization: 0.000 μB per atom
formation energy: -0.20 eV per atom



Record 6
A plane-wave DFT calculation with SCAN was carried out for K2BaCr at its PBEsol-relaxed geometry.

Cell: 4.202 4.202 11.300 Å, 90.00 90.00 90.00°
Space group P4mm (No. 99)
Symmetry-distinct sites (fractional):
K1 0.000 0.000 0.000
K2 0.500 0.500 0.323
Ba1 0.000 0.000 0.636
Cr1 0.500 0.500 0.800

Summary:
total magnetization: 1.373 μB per atom
formation energy: 0.37 eV per atom
relative energy among the computed polymorphs: 0.000 eV/atom



Record 7
A plane-wave DFT calculation with SCAN was carried out for LiIn at its PBEsol-relaxed geometry.

Cell: 10.997 3.096 5.199 Å, 90.00 114.80 90.00°
Space group C2/m (No. 12)
Symmetry-distinct sites (fractional):
Li1 0.123 0.000 0.286
In1 0.123 0.500 0.786

Summary:
total magnetization: 0.000 μB per atom
formation energy: -0.30 eV per atom



Record 8
A plane-wave DFT calculation with SCAN was carried out for HfTaGaSi2 at its PBEsol-relaxed geometry.

Cell: 4.781 4.781 4.823 Å, 90.00 90.00 90.00°
Space group P4/mmm (No. 123)
Symmetry-distinct sites (fractional):
Hf1 0.000 0.000 0.000
Ta1 0.500 0.500 0.500
Ga1 0.000 0.000 0.500
Si1 0.000 0.500 0.000

Summary:
total magnetization: 0.452 μB per atom
ΔE_f (raw): 1.378 eV per atom



Which formula does entry 6 have? K2BaCr



Please write out number 3 again, unchanged.
A plane-wave DFT calculation with SCAN was carried out for Mo2PSe at its PBEsol-relaxed geometry.

Cell: 3.203 3.203 5.888 Å, 90.00 90.00 90.00°
Space group P4mm (No. 99)
Symmetry-distinct sites (fractional):
Mo1 0.000 0.000 0.000
Mo2 0.500 0.500 0.323
P1 0.000 0.000 0.458
Se1 0.500 0.500 0.793

Summary:
total magnetization: 0.000 μB per atom
ΔE_f (raw): -0.125 eV per atom



The highest total magnetization belongs to which entry? K2BaCr